Compound: PaOs3C
Source: Alexandria via LeMat-Bulk
Functional: PBE
Structure: optimized geometry

DOS at the Fermi energy: 3.93 states/eV per cell
ΔH_f (0 K): 12 meV/atom

CIF file:
```
data_PaOs3C
_chemical_formula_sum 'Pa1 Os3 C1'
_cell_length_a 4.215
_cell_length_b 4.215
_cell_length_c 4.215
_cell_angle_alpha 90.00
_cell_angle_beta 90.00
_cell_angle_gamma 90.00
_space_group_name_H-M_alt 'P 1'
_space_group_IT_number 1
loop_
_space_group_symop_operation_xyz
'x,y,z'
loop_
_atom_site_label
_atom_site_type_symbol
_atom_site_fract_x
_atom_site_fract_y
_atom_site_fract_z
C1 C 0.000 0.000 0.000
Pa1 Pa 0.500 0.500 0.500
Os1 Os 0.000 0.500 0.000
Os2 Os 0.000 0.000 0.500
Os3 Os 0.500 0.000 0.000
```

***

Compound: Pa5OsC4
Source: Alexandria via LeMat-Bulk
Functional: PBE
Structure: optimized geometry

DOS at the Fermi energy: 25.78 states/eV per cell
ΔH_f (0 K): 35 meV/atom

CIF file:
```
data_Pa5OsC4
_chemical_formula_sum 'Pa10 Os2 C8'
_cell_length_a 6.069
_cell_length_b 6.961
_cell_length_c 8.063
_cell_angle_alpha 90.00
_cell_angle_beta 90.00
_cell_angle_gamma 90.00
_space_group_name_H-M_alt 'P 1'
_space_group_IT_number 1
loop_
_space_group_symop_operation_xyz
'x,y,z'
loop_
_atom_site_label
_atom_site_type_symbol
_atom_site_fract_x
_atom_site_fract_y
_atom_site_fract_z
Pa1 Pa 0.278 0.744 0.826
Pa2 Pa 0.278 0.256 0.826
Pa3 Pa 0.850 0.500 0.000
Pa4 Pa 0.278 0.744 0.174
Pa5 Pa 0.278 0.256 0.174
Pa6 Pa 0.722 0.756 0.326
Pa7 Pa 0.722 0.244 0.326
Pa8 Pa 0.150 0.000 0.500
Pa9 Pa 0.722 0.244 0.674
Pa10 Pa 0.722 0.756 0.674
Os1 Os 0.850 0.000 0.000
Os2 Os 0.150 0.500 0.500
C1 C 0.984 0.000 0.767
C2 C 0.617 0.780 0.000
C3 C 0.617 0.220 0.000
C4 C 0.984 0.000 0.233
C5 C 0.016 0.500 0.267
C6 C 0.383 0.720 0.500
C7 C 0.383 0.280 0.500
C8 C 0.016 0.500 0.733
```

***

Compound: PaOsC2
Source: Alexandria via LeMat-Bulk
Functional: PBE
Structure: optimized geometry

DOS at the Fermi energy: 4.08 states/eV per cell
ΔH_f (0 K): 6 meV/atom

CIF file:
```
data_PaOsC2
_chemical_formula_sum 'Pa1 Os1 C2'
_cell_length_a 3.470
_cell_length_b 3.470
_cell_length_c 5.262
_cell_angle_alpha 70.75
_cell_angle_beta 70.75
_cell_angle_gamma 60.00
_space_group_name_H-M_alt 'P 1'
_space_group_IT_number 1
loop_
_space_group_symop_operation_xyz
'x,y,z'
loop_
_atom_site_label
_atom_site_type_symbol
_atom_site_fract_x
_atom_site_fract_y
_atom_site_fract_z
C1 C 0.266 0.266 0.203
C2 C 0.734 0.734 0.797
Pa1 Pa 0.500 0.500 0.500
Os1 Os 0.000 0.000 0.000
```

***

Compound: PmPa2OsC4
Source: Alexandria via LeMat-Bulk
Functional: PBE
Structure: optimized geometry

DOS at the Fermi energy: 9.47 states/eV per cell
ΔH_f (0 K): -148 meV/atom

CIF file:
```
data_PmPa2OsC4
_chemical_formula_sum 'Pm2 Pa4 Os2 C8'
_cell_length_a 3.583
_cell_length_b 6.200
_cell_length_c 12.121
_cell_angle_alpha 90.00
_cell_angle_beta 90.00
_cell_angle_gamma 106.80
_space_group_name_H-M_alt 'P 1'
_space_group_IT_number 1
loop_
_space_group_symop_operation_xyz
'x,y,z'
loop_
_atom_site_label
_atom_site_type_symbol
_atom_site_fract_x
_atom_site_fract_y
_atom_site_fract_z
Pm1 Pm 0.112 0.224 0.750
Pm2 Pm 0.888 0.776 0.250
Pa1 Pa 0.367 0.735 0.543
Pa2 Pa 0.633 0.265 0.043
Pa3 Pa 0.633 0.265 0.457
Pa4 Pa 0.367 0.735 0.957
Os1 Os 0.848 0.695 0.750
Os2 Os 0.152 0.305 0.250
C1 C 0.261 0.522 0.125
C2 C 0.739 0.478 0.625
C3 C 0.739 0.478 0.875
C4 C 0.261 0.522 0.375
C5 C 0.000 0.000 0.500
C6 C 0.000 0.000 0.000
C7 C 0.426 0.853 0.750
C8 C 0.574 0.147 0.250
```

***

Compound: PrPa2OsC4
Source: Alexandria via LeMat-Bulk
Functional: PBE
Structure: optimized geometry

DOS at the Fermi energy: 9.72 states/eV per cell
ΔH_f (0 K): -145 meV/atom

CIF file:
```
data_PrPa2OsC4
_chemical_formula_sum 'Pr2 Pa4 Os2 C8'
_cell_length_a 3.601
_cell_length_b 6.242
_cell_length_c 12.163
_cell_angle_alpha 90.00
_cell_angle_beta 90.00
_cell_angle_gamma 106.77
_space_group_name_H-M_alt 'P 1'
_space_group_IT_number 1
loop_
_space_group_symop_operation_xyz
'x,y,z'
loop_
_atom_site_label
_atom_site_type_symbol
_atom_site_fract_x
_atom_site_fract_y
_atom_site_fract_z
Pr1 Pr 0.108 0.217 0.750
Pr2 Pr 0.892 0.783 0.250
Pa1 Pa 0.368 0.735 0.543
Pa2 Pa 0.632 0.265 0.043
Pa3 Pa 0.632 0.265 0.457
Pa4 Pa 0.368 0.735 0.957
Os1 Os 0.844 0.689 0.750
Os2 Os 0.156 0.311 0.250
C1 C 0.259 0.519 0.123
C2 C 0.741 0.481 0.623
C3 C 0.741 0.481 0.877
C4 C 0.259 0.519 0.377
C5 C 0.000 0.000 0.500
C6 C 0.000 0.000 0.000
C7 C 0.422 0.843 0.750
C8 C 0.578 0.157 0.250
```

***

Compound: PuPa2OsC4
Source: Alexandria via LeMat-Bulk
Functional: PBE
Structure: optimized geometry

DOS at the Fermi energy: 18.79 states/eV per cell
ΔH_f (0 K): -64 meV/atom

CIF file:
```
data_PuPa2OsC4
_chemical_formula_sum 'Pu2 Pa4 Os2 C8'
_cell_length_a 3.516
_cell_length_b 6.157
_cell_length_c 11.972
_cell_angle_alpha 90.00
_cell_angle_beta 90.00
_cell_angle_gamma 106.59
_space_group_name_H-M_alt 'P 1'
_space_group_IT_number 1
loop_
_space_group_symop_operation_xyz
'x,y,z'
loop_
_atom_site_label
_atom_site_type_symbol
_atom_site_fract_x
_atom_site_fract_y
_atom_site_fract_z
Pu1 Pu 0.113 0.225 0.750
Pu2 Pu 0.887 0.775 0.250
Pa1 Pa 0.367 0.734 0.543
Pa2 Pa 0.633 0.266 0.043
Pa3 Pa 0.633 0.266 0.457
Pa4 Pa 0.367 0.734 0.957
Os1 Os 0.852 0.704 0.750
Os2 Os 0.148 0.296 0.250
C1 C 0.267 0.534 0.130
C2 C 0.733 0.466 0.630
C3 C 0.733 0.466 0.870
C4 C 0.267 0.534 0.370
C5 C 0.000 0.000 0.500
C6 C 0.000 0.000 0.000
C7 C 0.441 0.881 0.750
C8 C 0.559 0.119 0.250
```

***

Compound: Pu2PaOsC4
Source: Alexandria via LeMat-Bulk
Functional: PBE
Structure: optimized geometry

DOS at the Fermi energy: 28.04 states/eV per cell
ΔH_f (0 K): 60 meV/atom

CIF file:
```
data_Pu2PaOsC4
_chemical_formula_sum 'Pu4 Pa2 Os2 C8'
_cell_length_a 3.444
_cell_length_b 6.067
_cell_length_c 11.811
_cell_angle_alpha 90.00
_cell_angle_beta 90.00
_cell_angle_gamma 106.49
_space_group_name_H-M_alt 'P 1'
_space_group_IT_number 1
loop_
_space_group_symop_operation_xyz
'x,y,z'
loop_
_atom_site_label
_atom_site_type_symbol
_atom_site_fract_x
_atom_site_fract_y
_atom_site_fract_z
Pu1 Pu 0.367 0.734 0.544
Pu2 Pu 0.633 0.266 0.044
Pu3 Pu 0.633 0.266 0.456
Pu4 Pu 0.367 0.734 0.956
Pa1 Pa 0.112 0.224 0.750
Pa2 Pa 0.888 0.776 0.250
Os1 Os 0.855 0.710 0.750
Os2 Os 0.145 0.290 0.250
C1 C 0.269 0.537 0.131
C2 C 0.731 0.463 0.631
C3 C 0.731 0.463 0.869
C4 C 0.269 0.537 0.369
C5 C 0.000 0.000 0.500
C6 C 0.000 0.000 0.000
C7 C 0.455 0.910 0.750
C8 C 0.545 0.090 0.250
```

***

Compound: Sc2PaOsC4
Source: Alexandria via LeMat-Bulk
Functional: PBE
Structure: optimized geometry

DOS at the Fermi energy: 8.01 states/eV per cell
ΔH_f (0 K): -156 meV/atom

CIF file:
```
data_Sc2PaOsC4
_chemical_formula_sum 'Sc4 Pa2 Os2 C8'
_cell_length_a 3.368
_cell_length_b 6.012
_cell_length_c 11.285
_cell_angle_alpha 90.00
_cell_angle_beta 90.00
_cell_angle_gamma 106.26
_space_group_name_H-M_alt 'P 1'
_space_group_IT_number 1
loop_
_space_group_symop_operation_xyz
'x,y,z'
loop_
_atom_site_label
_atom_site_type_symbol
_atom_site_fract_x
_atom_site_fract_y
_atom_site_fract_z
Sc1 Sc 0.372 0.743 0.540
Sc2 Sc 0.628 0.257 0.040
Sc3 Sc 0.628 0.257 0.460
Sc4 Sc 0.372 0.743 0.960
Pa1 Pa 0.100 0.200 0.750
Pa2 Pa 0.900 0.800 0.250
Os1 Os 0.843 0.687 0.750
Os2 Os 0.157 0.313 0.250
C1 C 0.269 0.538 0.126
C2 C 0.731 0.462 0.626
C3 C 0.731 0.462 0.874
C4 C 0.269 0.538 0.374
C5 C 0.000 0.000 0.500
C6 C 0.000 0.000 0.000
C7 C 0.440 0.880 0.750
C8 C 0.560 0.120 0.250
```

***

Compound: Pa4OsCSe2
Source: Alexandria via LeMat-Bulk
Functional: PBE
Structure: optimized geometry

DOS at the Fermi energy: 11.31 states/eV per cell
formation energy without anion corrections: -779 meV/atom

CIF file:
```
data_Pa4OsCSe2
_chemical_formula_sum 'Pa4 Os1 C1 Se2'
_cell_length_a 3.799
_cell_length_b 7.161
_cell_length_c 6.782
_cell_angle_alpha 72.82
_cell_angle_beta 90.00
_cell_angle_gamma 90.00
_space_group_name_H-M_alt 'P 1'
_space_group_IT_number 1
loop_
_space_group_symop_operation_xyz
'x,y,z'
loop_
_atom_site_label
_atom_site_type_symbol
_atom_site_fract_x
_atom_site_fract_y
_atom_site_fract_z
Pa1 Pa 0.000 0.718 0.741
Pa2 Pa 0.000 0.282 0.259
Pa3 Pa 0.500 0.707 0.282
Pa4 Pa 0.500 0.293 0.718
Os1 Os 0.500 0.500 0.000
C1 C 0.000 0.500 0.500
Se1 Se 0.000 0.000 0.000
Se2 Se 0.500 0.000 0.500
```

***

Compound: PaSiOsC
Source: Alexandria via LeMat-Bulk
Functional: PBE
Structure: optimized geometry

DOS at the Fermi energy: 9.82 states/eV per cell
formation energy without anion corrections: -417 meV/atom

CIF file:
```
data_PaSiOsC
_chemical_formula_sum 'Pa2 Si2 Os2 C2'
_cell_length_a 3.931
_cell_length_b 3.931
_cell_length_c 8.180
_cell_angle_alpha 90.00
_cell_angle_beta 90.00
_cell_angle_gamma 90.00
_space_group_name_H-M_alt 'P 1'
_space_group_IT_number 1
loop_
_space_group_symop_operation_xyz
'x,y,z'
loop_
_atom_site_label
_atom_site_type_symbol
_atom_site_fract_x
_atom_site_fract_y
_atom_site_fract_z
Pa1 Pa 0.000 0.500 0.833
Pa2 Pa 0.500 0.000 0.167
Si1 Si 0.000 0.500 0.336
Si2 Si 0.500 0.000 0.664
Os1 Os 0.000 0.000 0.500
Os2 Os 0.500 0.500 0.500
C1 C 0.500 0.000 0.889
C2 C 0.000 0.500 0.111
```

***

Compound: Pa2Si2Os2C
Source: Alexandria via LeMat-Bulk
Functional: PBE
Structure: optimized geometry

DOS at the Fermi energy: 3.42 states/eV per cell
formation energy without anion corrections: -575 meV/atom

CIF file:
```
data_Pa2Si2Os2C
_chemical_formula_sum 'Pa2 Si2 Os2 C1'
_cell_length_a 4.068
_cell_length_b 5.879
_cell_length_c 5.761
_cell_angle_alpha 73.14
_cell_angle_beta 69.33
_cell_angle_gamma 69.76
_space_group_name_H-M_alt 'P 1'
_space_group_IT_number 1
loop_
_space_group_symop_operation_xyz
'x,y,z'
loop_
_atom_site_label
_atom_site_type_symbol
_atom_site_fract_x
_atom_site_fract_y
_atom_site_fract_z
Pa1 Pa 0.564 0.173 0.698
Pa2 Pa 0.436 0.827 0.302
Si1 Si 0.152 0.380 0.316
Si2 Si 0.848 0.620 0.684
Os1 Os 0.207 0.684 0.902
Os2 Os 0.793 0.316 0.098
C1 C 0.000 0.000 0.000
```

***

Compound: SmPa2OsC4
Source: Alexandria via LeMat-Bulk
Functional: PBE
Structure: optimized geometry

DOS at the Fermi energy: 9.50 states/eV per cell
ΔH_f (0 K): -145 meV/atom

CIF file:
```
data_SmPa2OsC4
_chemical_formula_sum 'Sm2 Pa4 Os2 C8'
_cell_length_a 3.577
_cell_length_b 6.187
_cell_length_c 12.106
_cell_angle_alpha 90.00
_cell_angle_beta 90.00
_cell_angle_gamma 106.80
_space_group_name_H-M_alt 'P 1'
_space_group_IT_number 1
loop_
_space_group_symop_operation_xyz
'x,y,z'
loop_
_atom_site_label
_atom_site_type_symbol
_atom_site_fract_x
_atom_site_fract_y
_atom_site_fract_z
Sm1 Sm 0.113 0.226 0.750
Sm2 Sm 0.887 0.774 0.250
Pa1 Pa 0.367 0.734 0.543
Pa2 Pa 0.633 0.266 0.043
Pa3 Pa 0.633 0.266 0.457
Pa4 Pa 0.367 0.734 0.957
Os1 Os 0.849 0.698 0.750
Os2 Os 0.151 0.302 0.250
C1 C 0.262 0.523 0.126
C2 C 0.738 0.477 0.626
C3 C 0.738 0.477 0.874
C4 C 0.262 0.523 0.374
C5 C 0.000 0.000 0.500
C6 C 0.000 0.000 0.000
C7 C 0.428 0.856 0.750
C8 C 0.572 0.144 0.250
```